Entry 1:
Computed, not measured: a relaxed structure of PrThSb at the GGA-PBE level of DFT.

It has space group I4mm (No. 107), with a = 4.119 Å, b = 4.119 Å, c = 11.017 Å, α = 90.00°, β = 90.00° and γ = 90.00°. Symmetry generates all atoms from Pr at (0.000, 0.000, 0.000), Th at (0.000, 0.000, 0.701) and Sb at (0.000, 0.000, 0.350).

Entry 2:
Computed, not measured: a relaxed structure of Ac6Te3RhSe2 at the GGA-PBE level of DFT.

It has space group C2/m (No. 12), with a = 7.961 Å, b = 13.714 Å, c = 8.089 Å, α = 90.00°, β = 109.16° and γ = 90.00°. Symmetry generates all atoms from Ac at (0.231, 0.158, 0.221), Ac at (0.242, 0.000, 0.772), Te at (0.000, 0.175, 0.500), Te at (0.000, 0.500, 0.500), Rh at (0.000, 0.000, 0.000) and Se at (0.000, 0.335, 0.000).

Asked for V across the records above, the calculation gives 187; 834 Å³ per cell in order.
Asked for M_tot across the records above, the calculation gives 0.0; 0.0 μB per cell in order.
Asked for formation energy (no corrections) across the records above, the calculation gives -0.52; -1.49 eV per atom in order.